(1)
# NaLa2Ho PBE relaxed
data_NaLa2Ho
_symmetry_space_group_name_H-M 'P 4/m m m'
_symmetry_Int_Tables_number 123
_symmetry_space_group_name_Hall '-P 4 2'
_cell_length_a 6.068
_cell_length_b 6.068
_cell_length_c 3.780
_cell_angle_alpha 90.00
_cell_angle_beta 90.00
_cell_angle_gamma 90.00
loop_
_atom_site_label
_atom_site_type_symbol
_atom_site_fract_x
_atom_site_fract_y
_atom_site_fract_z
_atom_site_occupancy
Na1 Na 0.000 0.000 0.000 1
La1 La 0.000 0.500 0.500 1
Ho1 Ho 0.500 0.500 0.000 1
# Formation energy ... 0.175 eV/atom



(2)
# TbTm3In2 PBE relaxed
data_TbTm3In2
_symmetry_space_group_name_H-M 'P n m a'
_symmetry_Int_Tables_number 62
_cell_length_a 8.865
_cell_length_b 3.465
_cell_length_c 21.962
_cell_angle_alpha 90.00
_cell_angle_beta 90.00
_cell_angle_gamma 90.00
loop_
_symmetry_equiv_pos_as_xyz
'x,y,z'
'-x,-y,-z'
'-x+1/2,-y,z+1/2'
'x+1/2,y,-z+1/2'
'x+1/2,-y+1/2,-z+1/2'
'-x+1/2,y+1/2,z+1/2'
'-x,y+1/2,-z'
'x,-y+1/2,z'
loop_
_atom_site_label
_atom_site_type_symbol
_atom_site_fract_x
_atom_site_fract_y
_atom_site_fract_z
_atom_site_occupancy
Tb1 Tb 0.158 0.250 0.161 1
Tm1 Tm 0.040 0.250 0.424 1
Tm2 Tm 0.108 0.250 0.936 1
Tm3 Tm 0.215 0.750 0.804 1
In1 In 0.025 0.250 0.709 1
In2 In 0.250 0.250 0.542 1
# Formation energy ... -0.274 eV/atom